Record 1
## Tc2MoW (meta-GGA SCAN)

Data for a PBEsol-optimized structure of Tc2MoW.

## Properties
Symmetry: P4/mmm, No. 123
DOS(E_F), states/eV/cell: 4.04
ΔE to the lowest computed polymorph, eV per atom: 0.0161
Formation energy from the elements, kcal/mol of atoms: 1.00

Cell and atoms, written as POSCAR:
```
Tc2MoW
1.0
4.3782 0.0000 0.0000
0.0000 4.3782 0.0000
0.0000 0.0000 3.0851
Tc Mo W
2 1 1
Cartesian
0.0000 2.1891 0.0000
2.1891 0.0000 0.0000
0.0000 0.0000 1.5425
2.1891 2.1891 1.5425
```

Record 2
## TlNiSb2Br (meta-GGA SCAN)

Data for a PBEsol-optimized structure of TlNiSb2Br.

## Properties
Symmetry: P4/mmm, No. 123
DOS(E_F), states/eV/cell: 5.44
Final energy, eV/atom: -35.191

Cell and atoms, written as POSCAR:
```
TlNiSb2Br
1.0
5.4053 0.0000 0.0000
0.0000 5.4053 0.0000
0.0000 0.0000 5.6488
Tl Ni Sb Br
1 1 2 1
Cartesian
0.0000 0.0000 0.0000
2.7026 2.7026 0.0000
0.0000 2.7026 2.8244
2.7026 0.0000 2.8244
0.0000 0.0000 2.8244
```

Record 3
## Hf3TiCd (meta-GGA SCAN)

Data for a PBEsol-optimized structure of Hf3TiCd.

## Properties
Symmetry: Pm-3m, No. 221
DOS(E_F), states/eV/cell: 4.18
Formation energy from the elements, kcal/mol of atoms: 30.76

Cell and atoms, written as POSCAR:
```
Hf3TiCd
1.0
5.0830 0.0000 0.0000
0.0000 5.0830 0.0000
0.0000 0.0000 5.0830
Hf Ti Cd
3 1 1
Cartesian
0.0000 0.0000 2.5415
0.0000 2.5415 0.0000
2.5415 0.0000 0.0000
2.5415 2.5415 2.5415
0.0000 0.0000 0.0000
```

Record 4
## Y2TeOs (meta-GGA SCAN)

Data for a PBEsol-optimized structure of Y2TeOs.

## Properties
Symmetry: F-43m, No. 216
DOS(E_F), states/eV/cell: 10.45
Final energy, eV/atom: -41.263

Cell and atoms, written as POSCAR:
```
Y2TeOs
1.0
6.9667 0.0000 0.0000
0.0000 6.9667 0.0000
0.0000 0.0000 6.9667
Y Te Os
8 4 4
Cartesian
0.0000 0.0000 0.0000
0.0000 3.4833 3.4833
1.7417 1.7417 1.7417
1.7417 5.2250 5.2250
3.4833 0.0000 3.4833
3.4833 3.4833 0.0000
5.2250 1.7417 5.2250
5.2250 5.2250 1.7417
0.0000 0.0000 3.4833
0.0000 3.4833 0.0000
3.4833 0.0000 0.0000
3.4833 3.4833 3.4833
1.7417 1.7417 5.2250
1.7417 5.2250 1.7417
5.2250 1.7417 1.7417
5.2250 5.2250 5.2250
```

Record 5
## LaSb2Os (meta-GGA SCAN)

Data for a PBEsol-optimized structure of LaSb2Os.

## Properties
Symmetry: Pmmm, No. 47
DOS(E_F), states/eV/cell: 2.51
Final energy, eV/atom: -47.407

Cell and atoms, written as POSCAR:
```
LaSb2Os
1.0
3.2431 0.0000 0.0000
0.0000 3.5235 0.0000
0.0000 0.0000 7.6771
La Sb Os
1 2 1
Cartesian
0.0000 0.0000 0.0000
1.6216 1.7617 2.2995
1.6216 1.7617 5.3777
0.0000 0.0000 3.8386
```

Record 6
## SrAlBr (meta-GGA SCAN)

Data for a PBEsol-optimized structure of SrAlBr.

## Properties
Symmetry: I4mm, No. 107
DOS(E_F), states/eV/cell: 2.18
Final energy, eV/atom: -17.076

Cell and atoms, written as POSCAR:
```
SrAlBr
1.0
3.8175 0.0000 0.0000
0.0000 3.8175 0.0000
0.0000 0.0000 12.8175
Sr Al Br
2 2 2
Cartesian
0.0000 0.0000 0.0000
1.9087 1.9087 6.4088
0.0000 0.0000 4.4162
1.9087 1.9087 10.8250
0.0000 0.0000 8.0059
1.9087 1.9087 1.5972
```

Record 7
## LaCd2FeNi (meta-GGA SCAN)

Data for a PBEsol-optimized structure of LaCd2FeNi.

## Properties
Symmetry: P4/mmm, No. 123
DOS(E_F), states/eV/cell: 4.18
Formation energy from the elements, kcal/mol of atoms: 39.48

Cell and atoms, written as POSCAR:
```
LaCd2FeNi
1.0
5.7663 0.0000 0.0000
0.0000 5.7663 0.0000
0.0000 0.0000 4.2686
La Cd Fe Ni
1 2 1 1
Cartesian
0.0000 0.0000 0.0000
0.0000 2.8831 0.0000
2.8831 0.0000 0.0000
0.0000 0.0000 2.1343
2.8831 2.8831 2.1343
```

Record 8
## CaP4H2O12 (meta-GGA SCAN)

Data for a PBEsol-optimized structure of CaP4H2O12.

## Properties
Symmetry: P2_1/c, No. 14
DOS(E_F), states/eV/cell: 0.00
Final energy, eV/atom: -9.346

Cell and atoms, written as POSCAR:
```
CaP4H2O12
1.0
5.7394 0.0000 0.0000
0.0000 9.6677 0.0000
-0.3881 0.0000 8.8577
Ca P H O
2 8 4 24
Cartesian
0.0000 0.0000 0.0000
-0.1941 4.8339 4.4289
1.5439 2.0549 2.6874
1.3498 2.7790 7.1162
1.8368 6.9790 8.3022
2.0309 7.5226 3.8733
3.3204 2.1451 4.9844
3.5144 2.6887 0.5555
4.0014 6.8887 1.7415
3.8074 7.6128 6.1704
0.7950 5.1820 7.3125
0.9890 9.3195 2.8836
4.3622 0.3482 5.9741
4.5563 4.4857 1.5452
0.4587 1.8617 7.8592
0.6527 2.9722 3.4303
0.6896 6.0540 7.9042
0.8836 8.4476 3.4753
0.9900 0.8061 2.0393
0.7959 4.0278 6.4682
1.6798 6.0969 4.0364
1.4857 8.4047 8.4653
2.1310 1.8988 6.0239
2.3250 2.9350 1.5951
2.8176 6.3313 0.7856
2.6235 8.1703 5.2145
2.7277 1.4975 3.6433
2.5337 3.3364 8.0721
3.0263 6.7327 7.2627
3.2203 7.7689 2.8338
3.8655 1.2630 0.3924
3.6715 3.5709 4.8213
4.5553 5.6400 2.3895
4.3613 8.8616 6.8184
4.4676 1.2201 5.3824
4.6617 3.6137 0.9536
4.6985 6.6955 5.4274
4.8926 7.8060 0.9985
```